# 1
Below is a relaxed structure of CuWBr2, with properties calculated at the PBEsol level.

Computed properties:
Space-group type: Immm
Excess energy over the best structure of this formula in the dataset (meV per atom): 0
Final energy (eV per cell): -20.3
D(E_F) (states/eV/f.u.): 2.5

Cell: 3.0502 4.2834 7.3716 Å, 106.89 101.94 90.00°
Atoms (fractional coordinates):
Br1 0.6510 0.6510 0.3020
Br2 0.3490 0.3490 0.6980
Cu1 0.5000 0.0000 0.0000
W1 0.0000 0.5000 0.0000

# 2
Below is a relaxed structure of MgZn3, with properties calculated at the PBEsol level.

Computed properties:
Space-group type: Pmm2
Final energy (eV per cell): -6.5
ΔH_f (0 K) (meV per atom): -4
D(E_F) (states/eV/f.u.): 1.2

Cell: 2.8671 4.4789 4.8658 Å, 90.00 90.00 90.00°
Atoms (fractional coordinates):
Zn1 0.0000 0.0000 0.9920
Zn2 0.5000 0.0000 0.5121
Zn3 0.5000 0.5000 0.8288
Mg1 0.0000 0.5000 0.3337

# 3
Below is a relaxed structure of Ti2OsRu, with properties calculated at the PBEsol level.

Computed properties:
Space-group type: Fm-3m
Final energy (eV per cell): -41.9
ΔH_f (0 K) (meV per atom): -728
D(E_F) (states/eV/f.u.): 1.0

Cell: 4.3162 4.3162 4.3162 Å, 60.00 60.00 60.00°
Atoms (fractional coordinates):
Ru1 0.0000 0.0000 0.0000
Os1 0.5000 0.5000 0.5000
Ti1 0.2500 0.2500 0.2500
Ti2 0.7500 0.7500 0.7500

# 4
Below is a relaxed structure of LaIrSe2Br, with properties calculated at the PBEsol level.

Computed properties:
Space-group type: P4/mmm
Final energy (eV per cell): -21.0
D(E_F) (states/eV/f.u.): 9.7

Cell: 5.5383 5.6757 5.6757 Å, 90.00 90.00 90.00°
Atoms (fractional coordinates):
Ir1 0.5000 0.5000 0.5000
Se1 0.0000 0.0000 0.5000
Se2 0.0000 0.5000 0.0000
Br1 0.5000 0.0000 0.0000
La1 0.0000 0.0000 0.0000

# 5
Below is a relaxed structure of ZrAl2NiPb, with properties calculated at the PBEsol level.

Computed properties:
Space-group type: P4/mmm
Final energy (eV per cell): -20.5
ΔH_f (0 K) (meV per atom): 1385
D(E_F) (states/eV/f.u.): 6.9

Cell: 5.1207 5.1207 5.4265 Å, 90.00 90.00 90.00°
Atoms (fractional coordinates):
Pb1 0.0000 0.0000 0.5000
Ni1 0.5000 0.5000 0.5000
Al1 0.0000 0.5000 0.0000
Al2 0.5000 0.0000 0.0000
Zr1 0.0000 0.0000 0.0000

# 6
Below is a relaxed structure of Zr2PbBr, with properties calculated at the PBEsol level.

Computed properties:
Space-group type: P4/mmm
Final energy (eV per cell): -25.2
D(E_F) (states/eV/f.u.): 2.2

Cell: 3.3980 3.3980 7.2676 Å, 90.00 90.00 90.00°
Atoms (fractional coordinates):
Pb1 0.5000 0.5000 0.5000
Br1 0.5000 0.5000 0.0000
Zr1 0.0000 0.0000 0.7591
Zr2 0.0000 0.0000 0.2409